Run P
LaAl3Sn: relaxed, PBE.

Total moment = 0.00 μB/cell
Density of states at the Fermi level = 3.335 states/eV/cell
Crystal system = cubic

Cell lengths 5.2308, 5.2308, 5.2308 Å; angles 90.00, 90.00, 90.00 degrees
Atoms (fractional coordinates):
Sn1 0.0000 0.0000 0.0000
La1 0.5000 0.5000 0.5000
Al1 0.5000 0.0000 0.0000
Al2 0.0000 0.0000 0.5000
Al3 0.0000 0.5000 0.0000

=====

Run Q
LaAl3Sn: relaxed, PBE.

Total moment = 0.00 μB/cell
Density of states at the Fermi level = 2.996 states/eV/cell
Crystal system = cubic

Cell lengths 5.6240, 5.6240, 5.6240 Å; angles 90.00, 90.00, 90.00 degrees
Atoms (fractional coordinates):
Al1 0.0000 0.5000 0.0000
La1 0.0000 0.0000 0.0000
Al2 0.0000 0.0000 0.5000
Al3 0.5000 0.0000 0.0000
Sn1 0.5000 0.5000 0.5000

=====

Pick run P: it beats the second-best structure by 0.670 eV/atom.

=====

Run P
La3AlSn: relaxed, PBE.

Total moment = 1.72 μB/cell
Density of states at the Fermi level = 9.793 states/eV/cell
Crystal system = monoclinic

Cell lengths 4.3603, 8.6830, 8.9399 Å; angles 95.62, 90.00, 104.55 degrees
Site moments in Bohr magnetons follow the coordinates.
Atoms (fractional coordinates):
Al1 0.2356 0.5042 0.6428  0.00
La1 0.9756 0.9841 0.0328  0.12
La2 0.6175 0.2677 0.7658  0.13
La3 0.2591 0.5513 0.0253  0.07
La4 0.0684 0.1700 0.3888  0.12
Sn1 0.6271 0.2873 0.1355  -0.01
La5 0.4267 0.8865 0.6558  0.13
La6 0.7847 0.6027 0.3962  0.07
Al2 0.8084 0.6499 0.7787  0.00
Sn2 0.4168 0.8667 0.2860  -0.01

=====

Run Q
La3AlSn: relaxed, PBE.

Total moment = 0.00 μB/cell
Density of states at the Fermi level = 2.735 states/eV/cell
Crystal system = cubic

Cell lengths 5.7099, 5.7099, 5.7099 Å; angles 90.00, 90.00, 90.00 degrees
Atoms (fractional coordinates):
Al1 0.0000 0.0000 0.0000
La1 0.0000 0.0000 0.5000
La2 0.0000 0.5000 0.0000
Sn1 0.5000 0.5000 0.5000
La3 0.5000 0.0000 0.0000

=====

Pick run P: it beats the second-best structure by 0.405 eV/atom.

=====

Run P
SrLaAl3: relaxed, PBE.

Total moment = 0.00 μB/cell
Density of states at the Fermi level = 4.514 states/eV/cell
Crystal system = cubic

Cell lengths 5.6575, 5.6575, 5.6575 Å; angles 90.00, 90.00, 90.00 degrees
Atoms (fractional coordinates):
La1 0.0000 0.0000 0.0000
Al1 0.0000 0.5000 0.0000
Al2 0.0000 0.0000 0.5000
Sr1 0.5000 0.5000 0.5000
Al3 0.5000 0.0000 0.0000

=====

Run Q
SrLaAl3: relaxed, PBE.

Total moment = 0.00 μB/cell
Density of states at the Fermi level = 3.635 states/eV/cell
Crystal system = cubic

Cell lengths 5.4820, 5.4820, 5.4820 Å; angles 90.00, 90.00, 90.00 degrees
Atoms (fractional coordinates):
Al1 0.0000 0.0000 0.5000
Al2 0.5000 0.0000 0.0000
La1 0.5000 0.5000 0.5000
Sr1 0.0000 0.0000 0.0000
Al3 0.0000 0.5000 0.0000

=====

Pick run P: it beats the second-best structure by 0.210 eV/atom.

=====

Run P
Sr2LaAl2: relaxed, PBE.

Total moment = 0.00 μB/cell
Density of states at the Fermi level = 4.690 states/eV/cell
Crystal system = tetragonal

Cell lengths 4.9270, 4.9270, 8.0574 Å; angles 72.20, 72.20, 90.00 degrees
Atoms (fractional coordinates):
Sr1 0.6190 0.6190 0.7619
Al1 0.7500 0.2500 0.5000
Al2 0.2500 0.7500 0.5000
La1 0.0000 0.0000 0.0000
Sr2 0.3810 0.3810 0.2381

=====

Run Q
Sr2LaAl2: relaxed, PBE.

Total moment = 0.00 μB/cell
Density of states at the Fermi level = 11.417 states/eV/cell
Crystal system = tetragonal

Cell lengths 8.1194, 8.1194, 5.1942 Å; angles 90.00, 90.00, 90.00 degrees
Atoms (fractional coordinates):
Al1 0.1158 0.3842 0.0000
Sr1 0.6722 0.8278 0.5000
Sr2 0.1722 0.6722 0.5000
Al2 0.6158 0.1158 0.0000
Sr3 0.3278 0.1722 0.5000
La1 0.0000 0.0000 0.0000
La2 0.5000 0.5000 0.0000
Sr4 0.8278 0.3278 0.5000
Al3 0.3842 0.8842 0.0000
Al4 0.8842 0.6158 0.0000

=====

Pick run Q: it beats the second-best structure by 0.466 eV/atom.

=====

Run P
Sr3LaAl: relaxed, PBE.

Total moment = 0.00 μB/cell
Density of states at the Fermi level = 11.716 states/eV/cell
Crystal system = cubic

Cell lengths 6.1356, 6.1356, 6.1356 Å; angles 90.00, 90.00, 90.00 degrees
Atoms (fractional coordinates):
Sr1 0.5000 0.0000 0.0000
La1 0.5000 0.5000 0.5000
Sr2 0.0000 0.5000 0.0000
Sr3 0.0000 0.0000 0.5000
Al1 0.0000 0.0000 0.0000

=====

Run Q
Sr3LaAl: relaxed, PBE.

Total moment = 0.00 μB/cell
Density of states at the Fermi level = 5.755 states/eV/cell
Crystal system = cubic

Cell lengths 6.1640, 6.1640, 6.1640 Å; angles 90.00, 90.00, 90.00 degrees
Atoms (fractional coordinates):
Sr1 0.5000 0.0000 0.0000
La1 0.0000 0.0000 0.0000
Al1 0.5000 0.5000 0.5000
Sr2 0.0000 0.0000 0.5000
Sr3 0.0000 0.5000 0.0000

=====

Pick run P: it beats the second-best structure by 0.646 eV/atom.

=====

Run P
LaTaAl2: relaxed, PBE.

Total moment = 0.00 μB/cell
Density of states at the Fermi level = 3.053 states/eV/cell
Crystal system = monoclinic

Cell lengths 4.9895, 4.9895, 6.1958 Å; angles 83.27, 83.27, 35.20 degrees
Atoms (fractional coordinates):
La1 0.7500 0.7500 0.7500
Al1 0.5099 0.5099 0.4324
Al2 0.9901 0.9901 0.0676
Ta1 0.2500 0.2500 0.2500

=====

Run Q
LaTaAl2: relaxed, PBE.

Total moment = 1.36 μB/cell
Density of states at the Fermi level = 4.259 states/eV/cell
Crystal system = cubic

Cell lengths 4.9425, 4.9425, 4.9425 Å; angles 60.00, 60.00, 60.00 degrees
Site moments in Bohr magnetons follow the coordinates.
Atoms (fractional coordinates):
Al1 0.7500 0.7500 0.7500  0.00
La1 0.0000 0.0000 0.0000  0.07
Ta1 0.5000 0.5000 0.5000  0.81
Al2 0.2500 0.2500 0.2500  0.00

=====

Pick run P: it beats the second-best structure by 0.075 eV/atom.

=====

Run P
LaTa3Al: relaxed, PBE.

Total moment = 0.00 μB/cell
Density of states at the Fermi level = 6.096 states/eV/cell
Crystal system = cubic

Cell lengths 4.9300, 4.9300, 4.9300 Å; angles 90.00, 90.00, 90.00 degrees
Atoms (fractional coordinates):
Ta1 0.5000 0.0000 0.0000
La1 0.0000 0.0000 0.0000
Ta2 0.0000 0.0000 0.5000
Ta3 0.0000 0.5000 0.0000
Al1 0.5000 0.5000 0.5000

=====

Run Q
LaTa3Al: relaxed, PBE.

Total moment = 0.22 μB/cell
Density of states at the Fermi level = 8.823 states/eV/cell
Crystal system = cubic

Cell lengths 4.9079, 4.9079, 4.9079 Å; angles 90.00, 90.00, 90.00 degrees
Atoms (fractional coordinates):
La1 0.5000 0.5000 0.5000
Ta1 0.5000 0.0000 0.0000
Al1 0.0000 0.0000 0.0000
Ta2 0.0000 0.0000 0.5000
Ta3 0.0000 0.5000 0.0000

=====

Pick run Q: it beats the second-best structure by 1.111 eV/atom.

=====

Run P
LaTbAl: relaxed, PBE.

Total moment = 0.01 μB/cell
Density of states at the Fermi level = 8.930 states/eV/cell
Crystal system = hexagonal

Cell lengths 5.3958, 5.4000, 6.7645 Å; angles 90.00, 90.00, 119.97 degrees
Atoms (fractional coordinates):
Al1 0.3336 0.6673 0.2500
Tb1 0.3331 0.6663 0.7500
La1 0.0000 0.0000 0.5000
La2 0.0000 0.0000 0.0000
Tb2 0.6669 0.3337 0.2500
Al2 0.6664 0.3327 0.7500

=====

Run Q
LaTbAl: relaxed, PBE.

Total moment = 0.00 μB/cell
Density of states at the Fermi level = 2.887 states/eV/cell
Crystal system = tetragonal

Cell lengths 3.5291, 3.5291, 7.4026 Å; angles 103.79, 103.79, 90.00 degrees
Atoms (fractional coordinates):
La1 0.3018 0.3018 0.6036
Al1 0.9558 0.9558 0.9117
Tb1 0.5923 0.5923 0.1847

=====

Pick run P: it beats the second-best structure by 0.009 eV/atom.

=====

Run P
LaTb4Al2: relaxed, PBE.

Total moment = 0.00 μB/cell
Density of states at the Fermi level = 5.173 states/eV/cell
Crystal system = trigonal

Cell lengths 5.3719, 5.3719, 8.4846 Å; angles 71.54, 71.54, 60.00 degrees
Atoms (fractional coordinates):
Al1 0.2817 0.2817 0.1548
Tb1 0.4196 0.4196 0.7414
Al2 0.7183 0.7183 0.8452
Tb2 0.1548 0.1548 0.5355
La1 0.0000 0.0000 0.0000
Tb3 0.5804 0.5804 0.2586
Tb4 0.8452 0.8452 0.4645

=====

Run Q
LaTb4Al2: relaxed, PBE.

Total moment = 0.00 μB/cell
Density of states at the Fermi level = 10.667 states/eV/cell
Crystal system = trigonal

Cell lengths 5.0385, 5.0385, 10.6878 Å; angles 76.37, 76.37, 60.00 degrees
Atoms (fractional coordinates):
Tb1 0.8977 0.8977 0.3068
Tb2 0.1023 0.1023 0.6932
La1 0.5000 0.5000 0.5000
Tb3 0.7025 0.7025 0.8925
Al1 0.6009 0.6009 0.1973
Al2 0.3991 0.3991 0.8027
Tb4 0.2975 0.2975 0.1075

=====

Pick run P: it beats the second-best structure by 0.293 eV/atom.

=====

Run P
LaTb4Al: relaxed, PBE.

Total moment = 0.00 μB/cell
Density of states at the Fermi level = 7.658 states/eV/cell
Crystal system = trigonal

Cell lengths 3.6361, 3.6349, 16.3540 Å; angles 83.61, 83.62, 59.99 degrees
Atoms (fractional coordinates):
Tb1 0.6207 0.6204 0.1382
Tb2 0.8946 0.8928 0.3181
Al1 0.0000 0.0000 0.0000
Tb3 0.1054 0.1072 0.6819
Tb4 0.3793 0.3796 0.8618
La1 0.5000 0.5000 0.5000

=====

Run Q
LaTb4Al: relaxed, PBE.

Total moment = 0.00 μB/cell
Density of states at the Fermi level = 7.820 states/eV/cell
Crystal system = tetragonal

Cell lengths 3.6117, 3.6117, 13.9287 Å; angles 90.00, 90.00, 90.00 degrees
Atoms (fractional coordinates):
Tb1 0.0000 0.0000 0.3676
Tb2 0.5000 0.5000 0.8144
La1 0.0000 0.0000 0.0000
Tb3 0.5000 0.5000 0.1856
Al1 0.5000 0.5000 0.5000
Tb4 0.0000 0.0000 0.6324

=====

Pick run Q: it beats the second-best structure by 0.059 eV/atom.

=====

Run P
LaTbTmAl: relaxed, PBE.

Total moment = 0.28 μB/cell
Density of states at the Fermi level = 6.908 states/eV/cell
Crystal system = cubic

Cell lengths 5.4254, 5.4254, 5.4254 Å; angles 60.00, 60.00, 60.00 degrees
Site moments in Bohr magnetons follow the coordinates.
Atoms (fractional coordinates):
La1 0.5000 0.5000 0.5000  0.04
Tb1 0.0000 0.0000 0.0000  0.07
Tm1 0.7500 0.7500 0.7500  0.09
Al1 0.2500 0.2500 0.2500  0.00

=====

Run Q
LaTbTmAl: relaxed, PBE.

Total moment = 0.00 μB/cell
Density of states at the Fermi level = 3.976 states/eV/cell
Crystal system = tetragonal

Cell lengths 3.5368, 3.5368, 9.1807 Å; angles 90.00, 90.00, 90.00 degrees
Atoms (fractional coordinates):
Tm1 0.5000 0.5000 0.3659
La1 0.0000 0.0000 0.0761
Al1 0.0000 0.0000 0.5668
Tb1 0.5000 0.5000 0.7759

=====

Pick run Q: it beats the second-best structure by 0.109 eV/atom.

=====

Run P
LaTbYAl: relaxed, PBE.

Total moment = 0.96 μB/cell
Density of states at the Fermi level = 6.129 states/eV/cell
Crystal system = cubic

Cell lengths 5.4596, 5.4596, 5.4596 Å; angles 60.00, 60.00, 60.00 degrees
Site moments in Bohr magnetons follow the coordinates.
Atoms (fractional coordinates):
La1 0.2500 0.2500 0.2500  0.14
Tb1 0.5000 0.5000 0.5000  0.30
Y1 0.7500 0.7500 0.7500  0.17
Al1 0.0000 0.0000 0.0000  -0.01

=====

Run Q
LaTbYAl: relaxed, PBE.

Total moment = 0.00 μB/cell
Density of states at the Fermi level = 3.962 states/eV/cell
Crystal system = tetragonal

Cell lengths 3.5618, 3.5618, 9.2018 Å; angles 90.00, 90.00, 90.00 degrees
Atoms (fractional coordinates):
Al1 0.0000 0.0000 0.5716
La1 0.0000 0.0000 0.0717
Y1 0.5000 0.5000 0.7763
Tb1 0.5000 0.5000 0.3652

=====

Pick run Q: it beats the second-best structure by 0.132 eV/atom.